No. 1
{"formula": "Al2NiTe", "functional": "PBEsol", "state": "optimized geometry", "e_tot_ev_per_cell": -17.2, "e_form_raw_ev_per_fu": 0.69, "dos_at_fermi_per_ev_fu": 2.23, "lattice": [[3.8234, 0.0000, 0.0000], [0.0000, 3.8234, 0.0000], [-1.9117, -1.9117, 4.6820]], "species": ["Ni", "Te", "Al", "Al"], "fractional_positions": [[0.5000, 0.5000, 0.0000], [0.0000, 0.0000, 0.0000], [0.7500, 0.2500, 0.5000], [0.2500, 0.7500, 0.5000]]}

No. 2
{"formula": "Al2NiTe", "functional": "PBEsol", "state": "optimized geometry", "e_tot_ev_per_cell": -16.8, "e_form_raw_ev_per_fu": 1.10, "dos_at_fermi_per_ev_fu": 3.05, "lattice": [[4.6175, 0.0000, 0.0000], [2.3087, 3.9988, 0.0000], [2.3087, 1.3329, 3.7701]], "species": ["Ni", "Te", "Al", "Al"], "fractional_positions": [[0.5000, 0.5000, 0.5000], [0.2500, 0.2500, 0.2500], [0.0000, 0.0000, 0.0000], [0.7500, 0.7500, 0.7500]]}

No. 3
{"formula": "ThAl3Ni2", "functional": "PBEsol", "state": "optimized geometry", "delta_e_f_ev_per_atom": -0.65, "e_tot_ev_per_cell": -36.6, "dos_at_fermi_per_ev_fu": 2.75, "lattice": [[4.0198, 0.0000, 0.0000], [0.0000, 5.2696, 0.0000], [0.0000, -2.6348, 4.5636]], "species": ["Ni", "Ni", "Al", "Al", "Al", "Th"], "fractional_positions": [[0.0000, 0.3333, 0.6667], [0.0000, 0.6667, 0.3333], [0.5000, 0.0000, 0.5000], [0.5000, 0.5000, 0.5000], [0.5000, 0.5000, 0.0000], [0.0000, 0.0000, 0.0000]]}